No. 1
The following is a DFT calculation (meta-GGA SCAN) of a crystal of ScTaAg2 relaxed with PBEsol.

Cell lengths 2.891, 2.891, 8.437 Å; angles 90.00, 90.00, 90.00 degrees
Sites, in units of the cell vectors:
Sc  0.500  0.500  0.000
Ta  0.500  0.500  0.500
Ag  0.000  0.000  0.254
Ag  0.000  0.000  0.746

Output
E above lowest polymorph in meV per atom: 0
Energy of formation in eV/f.u.: 0.46
Magnetization in μB per formula unit: 0.00



No. 2
The following is a DFT calculation (meta-GGA SCAN) of a crystal of ScTaAg2 relaxed with PBEsol.

Cell lengths 2.974, 2.974, 9.620 Å; angles 81.11, 81.11, 60.00 degrees
Sites, in units of the cell vectors:
Ag  0.000  0.000  0.999
Ag  0.748  0.748  0.755
Sc  0.500  0.500  0.499
Ta  0.251  0.251  0.247

Output
E above lowest polymorph in meV per atom: 54
Energy of formation in eV/f.u.: 0.68
Magnetization in μB per formula unit: 0.00



No. 3
The following is a DFT calculation (meta-GGA SCAN) of a crystal of ScTaAg3 relaxed with PBEsol.

Cell lengths 4.967, 4.967, 4.967 Å; angles 90.00, 90.00, 90.00 degrees
Sites, in units of the cell vectors:
Ag  0.000  0.500  0.000
Ag  0.500  0.000  0.000
Ag  0.000  0.000  0.500
Ta  0.000  0.000  0.000
Sc  0.500  0.500  0.500

Output
Energy of formation in eV/f.u.: 6.19
Magnetization in μB per formula unit: 0.00



No. 4
The following is a DFT calculation (meta-GGA SCAN) of a crystal of Sc2TcAg relaxed with PBEsol.

Cell lengths 3.256, 3.256, 6.700 Å; angles 90.00, 90.00, 90.00 degrees
Sites, in units of the cell vectors:
Sc  0.000  0.000  0.776
Sc  0.000  0.000  0.224
Ag  0.500  0.500  0.500
Tc  0.500  0.500  0.000

Output
E above lowest polymorph in meV per atom: 0
Energy of formation in eV/f.u.: -1.45
Magnetization in μB per formula unit: 0.00



No. 5
The following is a DFT calculation (meta-GGA SCAN) of a crystal of ScTcAg3 relaxed with PBEsol.

Cell lengths 4.856, 4.856, 4.856 Å; angles 90.00, 90.00, 90.00 degrees
Sites, in units of the cell vectors:
Ag  0.500  0.000  0.000
Ag  0.000  0.000  0.500
Ag  0.000  0.500  0.000
Tc  0.000  0.000  0.000
Sc  0.500  0.500  0.500

Output
E above lowest polymorph in meV per atom: 0
Energy of formation in eV/f.u.: 5.94
Magnetization in μB per formula unit: 1.55



No. 6
The following is a DFT calculation (meta-GGA SCAN) of a crystal of ScTc2Ag relaxed with PBEsol.

Cell lengths 4.467, 4.467, 4.467 Å; angles 60.00, 60.00, 60.00 degrees
Sites, in units of the cell vectors:
Tc  0.250  0.250  0.250
Tc  0.750  0.750  0.750
Ag  0.000  0.000  0.000
Sc  0.500  0.500  0.500

Output
E above lowest polymorph in meV per atom: 526
Energy of formation in eV/f.u.: 2.29
Magnetization in μB per formula unit: 0.00



No. 7
The following is a DFT calculation (meta-GGA SCAN) of a crystal of ScTc2Ag relaxed with PBEsol.

Cell lengths 3.795, 3.795, 4.343 Å; angles 90.00, 90.00, 90.00 degrees
Sites, in units of the cell vectors:
Tc  0.500  0.000  0.000
Tc  0.000  0.500  0.000
Ag  0.500  0.500  0.500
Sc  0.000  0.000  0.500

Output
E above lowest polymorph in meV per atom: 65
Energy of formation in eV/f.u.: 0.45
Magnetization in μB per formula unit: 0.00



No. 8
The following is a DFT calculation (meta-GGA SCAN) of a crystal of ScTc2Ag relaxed with PBEsol.

Cell lengths 2.695, 5.092, 5.336 Å; angles 115.95, 100.24, 99.01 degrees
Sites, in units of the cell vectors:
Ag  0.000  0.500  0.000
Tc  0.500  0.500  0.500
Tc  0.000  0.000  0.500
Sc  0.500  0.000  0.000

Output
E above lowest polymorph in meV per atom: 137
Energy of formation in eV/f.u.: 0.74
Magnetization in μB per formula unit: 0.00



No. 9
The following is a DFT calculation (meta-GGA SCAN) of a crystal of ScTcAg3 relaxed with PBEsol.

Cell lengths 4.784, 4.784, 4.784 Å; angles 90.00, 90.00, 90.00 degrees
Sites, in units of the cell vectors:
Ag  0.000  0.000  0.500
Ag  0.000  0.500  0.000
Ag  0.500  0.000  0.000
Tc  0.500  0.500  0.500
Sc  0.000  0.000  0.000

Output
E above lowest polymorph in meV per atom: 383
Energy of formation in eV/f.u.: 7.86
Magnetization in μB per formula unit: 3.15



No. 10
The following is a DFT calculation (meta-GGA SCAN) of a crystal of Sc2TcAg relaxed with PBEsol.

Cell lengths 3.158, 3.158, 8.733 Å; angles 79.58, 79.58, 60.00 degrees
Sites, in units of the cell vectors:
Sc  0.758  0.758  0.725
Sc  0.242  0.242  0.275
Ag  0.000  0.000  0.000
Tc  0.500  0.500  0.500

Output
E above lowest polymorph in meV per atom: 299
Energy of formation in eV/f.u.: -0.25
Magnetization in μB per formula unit: 0.00



No. 11
The following is a DFT calculation (meta-GGA SCAN) of a crystal of Sc2TcAg relaxed with PBEsol.

Cell lengths 3.108, 4.132, 5.680 Å; angles 90.00, 90.00, 90.00 degrees
Sites, in units of the cell vectors:
Sc  0.500  0.500  0.304
Sc  0.000  0.000  0.972
Ag  0.500  0.500  0.771
Tc  0.000  0.000  0.454

Output
E above lowest polymorph in meV per atom: 357
Energy of formation in eV/f.u.: -0.02
Magnetization in μB per formula unit: 0.00



No. 12
The following is a DFT calculation (meta-GGA SCAN) of a crystal of Sc2TcAg relaxed with PBEsol.

Cell lengths 4.616, 4.616, 4.616 Å; angles 60.00, 60.00, 60.00 degrees
Sites, in units of the cell vectors:
Sc  0.250  0.250  0.250
Sc  0.750  0.750  0.750
Ag  0.000  0.000  0.000
Tc  0.500  0.500  0.500

Output
E above lowest polymorph in meV per atom: 57
Energy of formation in eV/f.u.: -1.22
Magnetization in μB per formula unit: 0.00



No. 13
The following is a DFT calculation (meta-GGA SCAN) of a crystal of ScTc2Ag relaxed with PBEsol.

Cell lengths 2.867, 3.991, 5.696 Å; angles 90.00, 97.22, 90.00 degrees
Sites, in units of the cell vectors:
Sc  0.551  0.500  0.760
Tc  0.432  0.500  0.208
Tc  0.027  0.000  0.030
Ag  0.990  0.000  0.502

Output
E above lowest polymorph in meV per atom: 0
Energy of formation in eV/f.u.: 0.19
Magnetization in μB per formula unit: 0.00



No. 14
The following is a DFT calculation (meta-GGA SCAN) of a crystal of Sc6AgTe2 relaxed with PBEsol.

Cell lengths 3.797, 10.625, 20.178 Å; angles 90.00, 90.00, 90.00 degrees
Sites, in units of the cell vectors:
Sc  0.250  0.534  0.338
Sc  0.750  0.325  0.108
Sc  0.250  0.966  0.838
Sc  0.250  0.390  0.990
Sc  0.750  0.466  0.662
Sc  0.750  0.755  0.769
Sc  0.250  0.878  0.029
Sc  0.750  0.122  0.971
Sc  0.250  0.825  0.392
Sc  0.750  0.435  0.861
Sc  0.250  0.565  0.139
Sc  0.750  0.610  0.010
Sc  0.750  0.034  0.162
Sc  0.750  0.890  0.510
Sc  0.750  0.065  0.361
Sc  0.250  0.245  0.231
Sc  0.250  0.255  0.731
Sc  0.750  0.378  0.471
Sc  0.750  0.745  0.269
Sc  0.750  0.175  0.608
Sc  0.250  0.622  0.529
Sc  0.250  0.110  0.490
Sc  0.250  0.935  0.639
Sc  0.250  0.675  0.892
Te  0.750  0.772  0.127
Te  0.250  0.961  0.265
Te  0.250  0.272  0.373
Te  0.750  0.039  0.735
Te  0.250  0.228  0.873
Te  0.750  0.461  0.235
Te  0.750  0.728  0.627
Te  0.250  0.539  0.765
Ag  0.750  0.859  0.924
Ag  0.750  0.641  0.424
Ag  0.250  0.141  0.076
Ag  0.250  0.359  0.576

Output
Magnetization in μB per formula unit: 0.00
Energy in eV/atom: -21.935



No. 15
The following is a DFT calculation (meta-GGA SCAN) of a crystal of ScAg2Te relaxed with PBEsol.

Cell lengths 3.818, 3.818, 5.650 Å; angles 90.00, 90.00, 90.00 degrees
Sites, in units of the cell vectors:
Sc  0.500  0.500  0.000
Ag  0.000  0.000  0.761
Ag  0.000  0.000  0.239
Te  0.500  0.500  0.500

Output
Magnetization in μB per formula unit: 0.00
Energy in eV/atom: -28.855



No. 16
The following is a DFT calculation (meta-GGA SCAN) of a crystal of Sc2TlAg2 relaxed with PBEsol.

Cell lengths 3.471, 7.616, 7.616 Å; angles 90.00, 90.00, 90.00 degrees
Sites, in units of the cell vectors:
Sc  0.500  0.668  0.832
Sc  0.500  0.332  0.168
Sc  0.500  0.832  0.332
Sc  0.500  0.168  0.668
Tl  0.000  0.500  0.500
Tl  0.000  0.000  0.000
Ag  0.000  0.373  0.873
Ag  0.000  0.127  0.373
Ag  0.000  0.627  0.127
Ag  0.000  0.873  0.627

Output
Energy of formation in eV/f.u.: -1.65
Magnetization in μB per formula unit: 0.00



No. 17
The following is a DFT calculation (meta-GGA SCAN) of a crystal of Sc2TlAg relaxed with PBEsol.

Cell lengths 4.892, 4.892, 4.892 Å; angles 60.00, 60.00, 60.00 degrees
Sites, in units of the cell vectors:
Ag  0.500  0.500  0.500
Tl  0.000  0.000  0.000
Sc  0.250  0.250  0.250
Sc  0.750  0.750  0.750

Output
E above lowest polymorph in meV per atom: 0
Energy of formation in eV/f.u.: -1.85
Magnetization in μB per formula unit: 0.00



No. 18
The following is a DFT calculation (meta-GGA SCAN) of a crystal of Sc2TlAg relaxed with PBEsol.

Cell lengths 3.407, 4.816, 5.898 Å; angles 113.63, 106.79, 90.00 degrees
Sites, in units of the cell vectors:
Sc  0.249  0.747  0.498
Sc  0.019  0.021  0.037
Tl  0.480  0.483  0.960
Ag  0.753  0.249  0.505

Output
E above lowest polymorph in meV per atom: 158
Energy of formation in eV/f.u.: -1.22
Magnetization in μB per formula unit: 0.77



No. 19
The following is a DFT calculation (meta-GGA SCAN) of a crystal of ScTlAg relaxed with PBEsol.

Cell lengths 3.159, 4.740, 4.740 Å; angles 120.00, 90.00, 90.00 degrees
Sites, in units of the cell vectors:
Ag  0.166  0.000  0.000
Tl  0.167  0.667  0.333
Sc  0.667  0.333  0.667

Output
Energy of formation in eV/f.u.: -0.90
Magnetization in μB per formula unit: 0.44



No. 20
The following is a DFT calculation (meta-GGA SCAN) of a crystal of Sc2TlAg relaxed with PBEsol.

Cell lengths 3.428, 3.428, 7.059 Å; angles 90.00, 90.00, 90.00 degrees
Sites, in units of the cell vectors:
Sc  0.000  0.000  0.766
Sc  0.000  0.000  0.234
Ag  0.500  0.500  0.000
Tl  0.500  0.500  0.500

Output
E above lowest polymorph in meV per atom: 23
Energy of formation in eV/f.u.: -1.76
Magnetization in μB per formula unit: 0.00



No. 21
The following is a DFT calculation (meta-GGA SCAN) of a crystal of Sc2TlAg relaxed with PBEsol.

Cell lengths 3.525, 4.853, 4.852 Å; angles 90.00, 89.99, 90.00 degrees
Sites, in units of the cell vectors:
Tl  0.375  0.000  0.376
Ag  0.375  0.500  0.874
Sc  0.875  0.500  0.375
Sc  0.875  0.000  0.875

Output
E above lowest polymorph in meV per atom: 22
Energy of formation in eV/f.u.: -1.76
Magnetization in μB per formula unit: 0.00



No. 22
The following is a DFT calculation (meta-GGA SCAN) of a crystal of ScAgW2 relaxed with PBEsol.

Cell lengths 2.718, 2.718, 9.063 Å; angles 90.00, 90.00, 90.00 degrees
Sites, in units of the cell vectors:
W  0.500  0.500  0.252
W  0.000  0.000  0.004
Sc  0.500  0.500  0.752
Ag  0.000  0.000  0.492

Output
E above lowest polymorph in meV per atom: 51
Energy of formation in eV/f.u.: 1.47
Magnetization in μB per formula unit: 0.00



No. 23
The following is a DFT calculation (meta-GGA SCAN) of a crystal of ScAgW2 relaxed with PBEsol.

Cell lengths 3.263, 4.332, 4.730 Å; angles 90.00, 90.00, 90.00 degrees
Sites, in units of the cell vectors:
W  0.000  0.000  0.000
W  0.500  0.500  0.000
Sc  0.000  0.500  0.500
Ag  0.500  0.000  0.500

Output
E above lowest polymorph in meV per atom: 0
Energy of formation in eV/f.u.: 1.27
Magnetization in μB per formula unit: 0.00



No. 24
The following is a DFT calculation (meta-GGA SCAN) of a crystal of ScAgW2 relaxed with PBEsol.

Cell lengths 2.825, 2.825, 9.924 Å; angles 81.82, 81.82, 60.00 degrees
Sites, in units of the cell vectors:
Ag  0.500  0.500  0.500
Sc  0.000  0.000  0.000
W  0.249  0.249  0.254
W  0.751  0.751  0.746

Output
E above lowest polymorph in meV per atom: 288
Energy of formation in eV/f.u.: 2.42
Magnetization in μB per formula unit: 0.00



No. 25
The following is a DFT calculation (meta-GGA SCAN) of a crystal of YScAg2 relaxed with PBEsol.

Cell lengths 3.503, 4.911, 4.912 Å; angles 90.00, 90.00, 90.00 degrees
Sites, in units of the cell vectors:
Sc  0.500  0.000  0.625
Y  0.500  0.500  0.126
Ag  0.000  0.500  0.626
Ag  0.000  0.000  0.124

Output
E above lowest polymorph in meV per atom: 7
Energy of formation in eV/f.u.: -1.46
Magnetization in μB per formula unit: 0.00



No. 26
The following is a DFT calculation (meta-GGA SCAN) of a crystal of Y3ScAg relaxed with PBEsol.

Cell lengths 5.445, 5.445, 5.445 Å; angles 90.00, 90.00, 90.00 degrees
Sites, in units of the cell vectors:
Y  0.000  0.000  0.500
Y  0.000  0.500  0.000
Y  0.500  0.000  0.000
Sc  0.500  0.500  0.500
Ag  0.000  0.000  0.000

Output
Energy of formation in eV/f.u.: 1.39
Magnetization in μB per formula unit: 1.27



No. 27
The following is a DFT calculation (meta-GGA SCAN) of a crystal of YScAg relaxed with PBEsol.

Cell lengths 3.425, 3.425, 6.425 Å; angles 105.46, 105.46, 90.00 degrees
Sites, in units of the cell vectors:
Ag  0.011  0.011  0.023
Y  0.344  0.344  0.689
Sc  0.644  0.644  0.289

Output
E above lowest polymorph in meV per atom: 0
Energy of formation in eV/f.u.: -0.65
Magnetization in μB per formula unit: 1.04



No. 28
The following is a DFT calculation (meta-GGA SCAN) of a crystal of YScAg relaxed with PBEsol.

Cell lengths 3.495, 4.799, 4.799 Å; angles 120.00, 90.00, 90.00 degrees
Sites, in units of the cell vectors:
Ag  0.939  0.000  0.000
Sc  0.758  0.667  0.333
Y  0.303  0.333  0.667

Output
E above lowest polymorph in meV per atom: 140
Energy of formation in eV/f.u.: -0.24
Magnetization in μB per formula unit: 0.00